Material: SrCa2Cu
Method: DFT, SCAN
State: PBEsol geometry

Values from the calculation:
space-group type	No. 99
relative energy among the computed polymorphs	0	meV/atom
ΔE_f	0.022	eV per atom

Geometry as POSCAR:
```
SrCa2Cu
1.0
-2.4269 -0.7116 2.7018
1.6497 -3.2533 0.6250
5.7780 4.1362 6.2794
Sr Cu Ca
1 1 2
Direct
0.0000 0.0000 0.6831
0.5000 0.5000 0.4847
0.0000 0.0000 0.3179
0.5000 0.5000 0.0142
```


Material: CaZnTc2
Method: DFT, SCAN
State: PBEsol geometry

Values from the calculation:
space-group type	No. 12
ΔE_f	0.424	eV per atom

Geometry as POSCAR:
```
CaZnTc2
1.0
-1.5743 -0.1841 2.3062
2.1525 -4.0981 1.1423
3.5894 3.7163 1.0491
Zn Ca Tc
1 1 2
Direct
0.0000 0.5000 0.0000
0.5000 0.0000 0.0000
0.2777 0.2923 0.5555
0.7223 0.7077 0.4445
```


Material: MgS2N2
Method: DFT, SCAN
State: PBEsol geometry

Values from the calculation:
E_form (uncorrected)	8.5	eV per formula unit
space-group type	No. 123
relative energy among the computed polymorphs	923	meV/atom

Geometry as POSCAR:
```
MgS2N2
1.0
-3.4164 -1.6854 1.1730
-0.3669 -2.2369 -4.2825
2.4690 -3.7786 1.7621
S N Mg
2 2 1
Direct
0.0000 0.0000 0.5000
0.0000 0.5000 0.0000
0.5000 0.5000 0.5000
0.5000 0.0000 0.0000
0.0000 0.0000 0.0000
```


Material: BaCr2SnHg
Method: DFT, SCAN
State: PBEsol geometry

Values from the calculation:
space-group type	No. 123
ΔE_f	0.340	eV per atom

Geometry as POSCAR:
```
BaCr2SnHg
1.0
5.2387 0.0000 0.0000
0.0000 5.2387 0.0000
0.0000 0.0000 5.4739
Hg Sn Cr Ba
1 1 2 1
Direct
0.0000 0.0000 0.0000
0.0000 0.0000 0.5000
0.5000 0.0000 0.0000
0.0000 0.5000 0.0000
0.5000 0.5000 0.5000
```


Material: InAsP4
Method: DFT, SCAN
State: PBEsol geometry

Values from the calculation:
space-group type	No. 216
ΔE_f	0.624	eV per atom

Geometry as POSCAR:
```
InAsP4
1.0
-0.1018 -4.4932 -3.2273
3.4493 -0.3902 -4.3087
4.2001 -3.5994 0.1356
P In As
4 1 1
Direct
0.3983 0.3983 0.8052
0.3983 0.8052 0.3983
0.8052 0.3983 0.3983
0.3983 0.3983 0.3983
0.0000 0.0000 0.0000
0.7500 0.7500 0.7500
```


Material: BaEuFe2O5
Method: DFT, SCAN
State: PBEsol geometry

Values from the calculation:
E_form (uncorrected)	-21.1	eV per formula unit
space-group type	No. 123

Geometry as POSCAR:
```
BaEuFe2O5
1.0
3.8704 0.0000 0.0000
0.0000 3.8704 0.0000
0.0000 0.0000 7.4019
Fe O Eu Ba
2 5 1 1
Direct
0.5000 0.5000 0.7341
0.5000 0.5000 0.2658
0.0000 0.5000 0.7075
0.5000 0.0000 0.7075
0.5000 0.5000 0.9999
0.0000 0.5000 0.2924
0.5000 0.0000 0.2924
0.0000 0.0000 0.4999
0.0000 0.0000 0.9999
```